! Be2AsP | the Alexandria database | PBEsol | relaxed; values from VASP
&SYSTEM
  ibrav = 0, nat = 4, ntyp = 3
/
ATOMIC_SPECIES
Be 9.01 Be.upf
As 74.92 As.upf
P 30.97 P.upf
CELL_PARAMETERS angstrom
3.321 0.000 0.000
0.000 3.329 0.000
0.000 0.000 4.629
ATOMIC_POSITIONS crystal
Be 0.000 0.000 0.000
Be 0.500 0.000 0.500
As 0.000 0.500 0.500
P 0.500 0.500 0.000
! Final energy   -4.303 eV/atom
! DOS at the Fermi energy   0.340 states/eV per atom
! Energy of formation from the pure elements   0.42 eV/atom

---

! BeAs2P | the Alexandria database | PBEsol | relaxed; values from VASP
&SYSTEM
  ibrav = 0, nat = 4, ntyp = 3
/
ATOMIC_SPECIES
Be 9.01 Be.upf
As 74.92 As.upf
P 30.97 P.upf
CELL_PARAMETERS angstrom
2.659 0.000 0.000
0.000 3.435 0.000
-1.138 0.000 6.841
ATOMIC_POSITIONS crystal
Be 0.000 0.000 0.000
As 0.133 0.500 0.774
As 0.867 0.500 0.226
P 0.000 0.000 0.500
! Final energy   -4.732 eV/atom
! Energy above the lowest structure with this stoichiometry   0 meV per atom
! DOS at the Fermi energy   0.340 states/eV per atom
! Energy of formation from the pure elements   0.27 eV/atom

---

! BeAsP2S | the Alexandria database | PBEsol | relaxed; values from VASP
&SYSTEM
  ibrav = 0, nat = 5, ntyp = 4
/
ATOMIC_SPECIES
Be 9.01 Be.upf
As 74.92 As.upf
P 30.97 P.upf
S 32.06 S.upf
CELL_PARAMETERS angstrom
4.303 0.000 0.000
0.000 4.303 0.000
0.000 0.000 4.116
ATOMIC_POSITIONS crystal
Be 0.000 0.000 0.000
As 0.500 0.500 0.500
P 0.000 0.500 0.000
P 0.500 0.000 0.000
S 0.000 0.000 0.500
! Final energy   -4.435 eV/atom
! DOS at the Fermi energy   0.613 states/eV per atom
! Energy relative to the elements, uncorrected   0.580 eV/atom

---

! BeAs2Pb | the Alexandria database | PBEsol | relaxed; values from VASP
&SYSTEM
  ibrav = 0, nat = 4, ntyp = 3
/
ATOMIC_SPECIES
Be 9.01 Be.upf
As 74.92 As.upf
Pb 207.20 Pb.upf
CELL_PARAMETERS angstrom
3.776 0.000 0.000
0.000 3.949 0.000
0.000 0.000 5.281
ATOMIC_POSITIONS crystal
Be 0.000 0.000 0.000
As 0.000 0.500 0.500
As 0.500 0.000 0.500
Pb 0.500 0.500 0.000
! Final energy   -3.991 eV/atom
! DOS at the Fermi energy   0.494 states/eV per atom
! Energy of formation from the pure elements   0.56 eV/atom

---

! BeAsPb | the Alexandria database | PBEsol | relaxed; values from VASP
&SYSTEM
  ibrav = 0, nat = 3, ntyp = 3
/
ATOMIC_SPECIES
Be 9.01 Be.upf
As 74.92 As.upf
Pb 207.20 Pb.upf
CELL_PARAMETERS angstrom
-1.652 1.652 5.649
1.652 -1.652 5.649
1.652 1.652 -5.649
ATOMIC_POSITIONS crystal
Be 0.000 0.000 0.000
As 0.503 0.503 0.000
Pb 0.251 0.251 0.000
! Final energy   -4.080 eV/atom
! Energy above the lowest structure with this stoichiometry   273 meV per atom
! DOS at the Fermi energy   0.355 states/eV per atom
! Energy of formation from the pure elements   0.29 eV/atom

---

! BeAs2Pb | the Alexandria database | PBEsol | relaxed; values from VASP
&SYSTEM
  ibrav = 0, nat = 4, ntyp = 3
/
ATOMIC_SPECIES
Be 9.01 Be.upf
As 74.92 As.upf
Pb 207.20 Pb.upf
CELL_PARAMETERS angstrom
4.054 0.000 0.000
0.000 4.053 0.000
0.000 0.000 5.661
ATOMIC_POSITIONS crystal
Be 0.000 0.000 0.000
As 0.003 0.500 0.188
As 0.501 0.000 0.812
Pb 0.504 0.500 0.500
! Final energy   -4.520 eV/atom
! DOS at the Fermi energy   0.074 states/eV per atom
! Energy of formation from the pure elements   0.03 eV/atom

---

! Be2As2Pb | the Alexandria database | PBEsol | relaxed; values from VASP
&SYSTEM
  ibrav = 0, nat = 5, ntyp = 3
/
ATOMIC_SPECIES
Be 9.01 Be.upf
As 74.92 As.upf
Pb 207.20 Pb.upf
CELL_PARAMETERS angstrom
-1.827 1.827 6.677
1.827 -1.827 6.677
1.827 1.827 -6.677
ATOMIC_POSITIONS crystal
Be 0.250 0.750 0.500
Be 0.750 0.250 0.500
As 0.145 0.145 0.000
As 0.855 0.855 0.000
Pb 0.500 0.500 0.000
! Final energy   -4.464 eV/atom
! DOS at the Fermi energy   0.351 states/eV per atom
! Energy of formation from the pure elements   -0.02 eV/atom

---

! BeAs2Pb | the Alexandria database | PBEsol | relaxed; values from VASP
&SYSTEM
  ibrav = 0, nat = 4, ntyp = 3
/
ATOMIC_SPECIES
Be 9.01 Be.upf
As 74.92 As.upf
Pb 207.20 Pb.upf
CELL_PARAMETERS angstrom
1.858 -2.652 0.000
1.858 2.652 0.000
0.000 0.000 8.002
ATOMIC_POSITIONS crystal
Be 0.000 0.000 0.000
As 0.500 0.500 0.171
As 0.500 0.500 0.829
Pb 0.000 0.000 0.500
! Final energy   -4.302 eV/atom
! DOS at the Fermi energy   0.424 states/eV per atom
! Energy of formation from the pure elements   0.25 eV/atom

---

Question: Which of these has the lowest DOS at the Fermi energy?
Answer: number 6

---

Please write out number 8 again, unchanged.
! BeAs2Pb | the Alexandria database | PBEsol | relaxed; values from VASP
&SYSTEM
  ibrav = 0, nat = 4, ntyp = 3
/
ATOMIC_SPECIES
Be 9.01 Be.upf
As 74.92 As.upf
Pb 207.20 Pb.upf
CELL_PARAMETERS angstrom
1.858 -2.652 0.000
1.858 2.652 0.000
0.000 0.000 8.002
ATOMIC_POSITIONS crystal
Be 0.000 0.000 0.000
As 0.500 0.500 0.171
As 0.500 0.500 0.829
Pb 0.000 0.000 0.500
! Final energy   -4.302 eV/atom
! DOS at the Fermi energy   0.424 states/eV per atom
! Energy of formation from the pure elements   0.25 eV/atom